Entry 1:
A relaxed Ba2AgGePt crystal. Source: Alexandria via LeMat-Bulk, functional PBE.

```
Ba2AgGePt
1.0
6.2552 0.0000 0.0000
0.0000 6.2552 0.0000
0.0000 0.0000 4.6960
Ba Ag Ge Pt
2 1 1 1
direct
0.0000 0.5000 0.0000
0.5000 0.0000 0.0000
0.0000 0.0000 0.5000
0.5000 0.5000 0.5000
0.5000 0.5000 0.0000
```

Output
- ΔH_f (0 K) (eV per atom) = -0.439
- electronic total energy (eV per atom) = -3.910
- space-group type = P4/mmm

---

Entry 2:
A relaxed Ba2AgGe4Pt3 crystal. Source: Alexandria via LeMat-Bulk, functional PBE.

```
Ba2AgGe4Pt3
1.0
4.5847 0.0000 0.0000
0.0000 4.5847 0.0000
0.0000 0.0000 10.3575
Ba Ag Ge Pt
2 1 4 3
direct
0.0000 0.5000 0.2460
0.5000 0.0000 0.7540
0.0000 0.0000 0.5000
0.0000 0.0000 0.0000
0.0000 0.5000 0.6296
0.5000 0.0000 0.3704
0.5000 0.5000 0.0000
0.0000 0.5000 0.8816
0.5000 0.0000 0.1184
0.5000 0.5000 0.5000
```

Output
- ΔH_f (0 K) (eV per atom) = -0.651
- electronic total energy (eV per atom) = -4.980
- space-group type = P-4m2

---

Entry 3:
A relaxed BaReAgGe2 crystal. Source: Alexandria via LeMat-Bulk, functional PBE.

```
BaReAgGe2
1.0
5.5095 0.0000 0.0000
0.0000 5.5095 0.0000
0.0000 0.0000 5.4098
Ba Re Ag Ge
1 1 1 2
direct
0.0000 0.0000 0.0000
0.5000 0.5000 0.5000
0.0000 0.0000 0.5000
0.0000 0.5000 0.0000
0.5000 0.0000 0.0000
```

Output
- ΔH_f (0 K) (eV per atom) = 2.642
- electronic total energy (eV per atom) = -2.650
- space-group type = P4/mmm

---

Entry 4:
A relaxed BaAgGe2Se crystal. Source: Alexandria via LeMat-Bulk, functional PBE.

```
BaAgGe2Se
1.0
5.9189 0.0000 0.0000
0.0000 5.9189 0.0000
0.0000 0.0000 5.7197
Ba Ag Ge Se
1 1 2 1
direct
0.0000 0.0000 0.0000
0.0000 0.0000 0.5000
0.0000 0.5000 0.0000
0.5000 0.0000 0.0000
0.5000 0.5000 0.5000
```

Output
- electronic total energy (eV per atom) = -2.188
- space-group type = P4/mmm
- E_form (uncorrected) (eV per formula unit) = 6.551